(1)
Material: KOsAu2
Method: DFT, SCAN
State: PBEsol geometry

Unit cell a=2.647 b=4.633 c=7.071 alpha=90.00 beta=90.00 gamma=90.00
Sites, in units of the cell vectors:
Au 0.000 0.000 0.922
Au 0.500 0.500 0.228
Os 0.500 0.500 0.859
K 0.000 0.000 0.491

Calculated values
Crystal system ... orthorhombic
Magnetic moment ... 0.000 μB/f.u.
Calculated formation energy ... 0.561 eV per atom


(2)
Material: KOsAu2
Method: DFT, SCAN
State: PBEsol geometry

Unit cell a=2.679 b=4.627 c=7.052 alpha=94.61 beta=90.00 gamma=106.83
Sites, in units of the cell vectors:
Au 0.761 0.523 0.818
Au 0.239 0.477 0.182
K 0.000 0.000 0.500
Os 0.500 0.000 0.000

Calculated values
Crystal system ... monoclinic
Magnetic moment ... 0.000 μB/f.u.
Calculated formation energy ... 0.543 eV per atom


(3)
Material: KPAu3
Method: DFT, SCAN
State: PBEsol geometry

Unit cell a=4.811 b=4.811 c=4.811 alpha=90.00 beta=90.00 gamma=90.00
Sites, in units of the cell vectors:
Au 0.500 0.000 0.000
Au 0.000 0.500 0.000
Au 0.000 0.000 0.500
K 0.500 0.500 0.500
P 0.000 0.000 0.000

Calculated values
Crystal system ... cubic
Magnetic moment ... 0.000 μB/f.u.
Calculated formation energy ... -0.222 eV per atom


Number 1: theoretical density 11.93 g/cm3. Number 2: theoretical density 12.41 g/cm3. Number 3: theoretical density 9.86 g/cm3.